[1]
# Cs2NaLiF6 GGA-PBEsol relaxed
# Space-group type: No. 225
# Energy relative to the elements, uncorrected (meV per atom): -2188
# Uncorrected energy (eV per atom): -3.870
# Density of states at the Fermi level (states/eV/cell): 13.986
# Calculated volume (Å³ per atom): 15.7
data_Cs2NaLiF6
_chemical_formula_sum 'Cs2 Na1 Li1 F6'
_cell_length_a 6.0536
_cell_length_b 6.0536
_cell_length_c 6.0536
_cell_angle_alpha 60.00
_cell_angle_beta 60.00
_cell_angle_gamma 60.00
_space_group_name_H-M_alt 'P 1'
_space_group_IT_number 1
_space_group_name_Hall 'P 1'
loop_
_atom_site_label
_atom_site_type_symbol
_atom_site_fract_x
_atom_site_fract_y
_atom_site_fract_z
Cs1 Cs 0.2500 0.2500 0.2500
Cs2 Cs 0.7500 0.7500 0.7500
Na1 Na 0.5000 0.5000 0.5000
Li1 Li 0.0000 0.0000 0.0000
F1 F 0.2343 0.7657 0.7657
F2 F 0.7657 0.2343 0.7657
F3 F 0.2343 0.7657 0.2343
F4 F 0.2343 0.2343 0.7657
F5 F 0.7657 0.7657 0.2343
F6 F 0.7657 0.2343 0.2343

***

[2]
# Cd2TcW GGA-PBEsol relaxed
# Space-group type: No. 12
# Offset from the most stable computed form (meV per atom): 323
# Uncorrected energy (eV per atom): -6.282
# Density of states at the Fermi level (states/eV/cell): 2.772
# Formation enthalpy at 0 K (eV/atom): 0.59
# Calculated volume (Å³ per atom): 16.7
data_Cd2TcW
_chemical_formula_sum 'Cd2 Tc1 W1'
_cell_length_a 2.7213
_cell_length_b 5.3189
_cell_length_c 5.4585
_cell_angle_alpha 115.64
_cell_angle_beta 98.21
_cell_angle_gamma 102.63
_space_group_name_H-M_alt 'P 1'
_space_group_IT_number 1
_space_group_name_Hall 'P 1'
loop_
_atom_site_label
_atom_site_type_symbol
_atom_site_fract_x
_atom_site_fract_y
_atom_site_fract_z
Cd1 Cd 0.0000 0.0000 0.5000
Cd2 Cd 0.5000 0.5000 0.5000
Tc1 Tc 0.5000 0.0000 0.0000
W1 W 0.0000 0.5000 0.0000

***

[3]
# Ag2Pt GGA-PBEsol relaxed
# Space-group type: No. 225
# Offset from the most stable computed form (meV per atom): 459
# Uncorrected energy (eV per atom): -4.078
# Density of states at the Fermi level (states/eV/cell): 1.149
# Formation enthalpy at 0 K (eV/atom): 0.45
# Calculated volume (Å³ per atom): 19.3
data_Ag2Pt
_chemical_formula_sum 'Ag2 Pt1'
_cell_length_a 4.3408
_cell_length_b 4.3408
_cell_length_c 4.3408
_cell_angle_alpha 60.00
_cell_angle_beta 60.00
_cell_angle_gamma 60.00
_space_group_name_H-M_alt 'P 1'
_space_group_IT_number 1
_space_group_name_Hall 'P 1'
loop_
_atom_site_label
_atom_site_type_symbol
_atom_site_fract_x
_atom_site_fract_y
_atom_site_fract_z
Ag1 Ag 0.2500 0.2500 0.2500
Ag2 Ag 0.7500 0.7500 0.7500
Pt1 Pt 0.0000 0.0000 0.0000